# 1
Mn2CdIr | Alexandria via LeMat-Bulk | PBE | optimized geometry; DFT total energy = -6.796 eV/atom; formation enthalpy at 0 K = 233 meV per atom; calculated volume = 63 Å³/cell
1.0
0.0000 3.1607 3.1607
3.1607 0.0000 3.1607
3.1607 3.1607 0.0000
Mn Cd Ir
2 1 1
direct
0.0000 0.0000 0.0000 Mn
0.2500 0.2500 0.2500 Mn
0.7500 0.7500 0.7500 Cd
0.5000 0.5000 0.5000 Ir

=====

# 2
Pm2Tm15Sc2 | Alexandria via LeMat-Bulk | PBE | optimized geometry; DFT total energy = -4.348 eV/atom; formation enthalpy at 0 K = 349 meV per atom; calculated volume = 603 Å³/cell
1.0
5.4814 3.1647 5.7979
-5.4814 3.1647 5.7979
0.0000 -6.3294 5.7979
Pm Tm Sc
2 15 2
direct
0.1142 0.1142 0.1142 Pm
0.8858 0.8858 0.8858 Pm
0.0000 0.0000 0.5000 Tm
0.0000 0.3061 0.6939 Tm
0.0000 0.5000 0.0000 Tm
0.0000 0.6939 0.3061 Tm
0.1514 0.6311 0.6311 Tm
0.3061 0.0000 0.6939 Tm
0.3061 0.6939 0.0000 Tm
0.3689 0.3689 0.8486 Tm
0.3689 0.8486 0.3689 Tm
0.5000 0.0000 0.0000 Tm
0.6311 0.1514 0.6311 Tm
0.6311 0.6311 0.1514 Tm
0.6939 0.0000 0.3061 Tm
0.6939 0.3061 0.0000 Tm
0.8486 0.3689 0.3689 Tm
0.3214 0.3214 0.3214 Sc
0.6786 0.6786 0.6786 Sc

=====

# 3
Ti3VSe | Alexandria via LeMat-Bulk | PBE | optimized geometry; DFT total energy = -6.960 eV/atom; raw formation energy = 1.49 eV per formula unit; calculated volume = 100 Å³/cell; excess energy over the best structure of this formula in the dataset = 2.86 eV per formula unit
1.0
4.6486 0.0000 0.0000
0.0000 4.6486 0.0000
0.0000 0.0000 4.6486
Ti V Se
3 1 1
direct
0.0000 0.0000 0.5000 Ti
0.0000 0.5000 0.0000 Ti
0.5000 0.0000 0.0000 Ti
0.5000 0.5000 0.5000 V
0.0000 0.0000 0.0000 Se

=====

# 4
SmThGaRu | Alexandria via LeMat-Bulk | PBE | optimized geometry; DFT total energy = -6.437 eV/atom; formation enthalpy at 0 K = -326 meV per atom; calculated volume = 93 Å³/cell; excess energy over the best structure of this formula in the dataset = 0.95 eV per formula unit
1.0
0.0000 3.5976 3.5976
3.5976 0.0000 3.5976
3.5976 3.5976 0.0000
Sm Th Ga Ru
1 1 1 1
direct
0.0000 0.0000 0.0000 Sm
0.5000 0.5000 0.5000 Th
0.2500 0.2500 0.2500 Ga
0.7500 0.7500 0.7500 Ru

=====

# 5
CaNbNO2 | Alexandria via LeMat-Bulk | PBE | optimized geometry; DFT total energy = -8.224 eV/atom; raw formation energy = -10.81 eV per formula unit; calculated volume = 253 Å³/cell
1.0
5.5704 0.0000 0.0000
0.0000 5.7165 0.0000
-5.5249 0.0000 7.9466
Ca Nb N O
4 4 4 8
direct
0.2313 0.0466 0.2458 Ca
0.2313 0.4534 0.7458 Ca
0.7687 0.5466 0.2542 Ca
0.7687 0.9534 0.7542 Ca
0.0000 0.0000 0.5000 Nb
0.0000 0.5000 0.0000 Nb
0.5000 0.0000 0.0000 Nb
0.5000 0.5000 0.5000 Nb
0.1657 0.2128 0.9544 N
0.1657 0.2872 0.4544 N
0.8343 0.7128 0.5456 N
0.8343 0.7872 0.0456 N
0.2353 0.7108 0.9454 O
0.2353 0.7892 0.4454 O
0.3456 0.0261 0.7505 O
0.3456 0.4739 0.2505 O
0.6544 0.5261 0.7495 O
0.6544 0.9739 0.2495 O
0.7647 0.2108 0.5546 O
0.7647 0.2892 0.0546 O

=====

# 6
Tb5Dy3Ru2 | Alexandria via LeMat-Bulk | PBE | optimized geometry; DFT total energy = -5.564 eV/atom; formation enthalpy at 0 K = -13 meV per atom; calculated volume = 575 Å³/cell
1.0
-6.0781 7.0757 3.3451
6.0781 -7.0757 3.3451
6.0781 7.0757 -3.3451
Tb Dy Ru
10 6 4
direct
0.0250 0.2500 0.7750 Tb
0.0620 0.2167 0.2786 Tb
0.2500 0.2500 0.0000 Tb
0.4380 0.7167 0.1547 Tb
0.4750 0.2500 0.2250 Tb
0.5250 0.7500 0.7750 Tb
0.5620 0.2833 0.8453 Tb
0.7500 0.7500 0.0000 Tb
0.9380 0.7833 0.7214 Tb
0.9750 0.7500 0.2250 Tb
0.1839 0.7402 0.9241 Dy
0.2500 0.7500 0.5000 Dy
0.3161 0.2402 0.5564 Dy
0.6839 0.7598 0.4436 Dy
0.7500 0.2500 0.5000 Dy
0.8161 0.2598 0.0759 Dy
0.1572 0.3931 0.5504 Ru
0.3428 0.8931 0.2359 Ru
0.6572 0.1069 0.7641 Ru
0.8428 0.6069 0.4496 Ru

=====

# 7
Ce3HoSc3Se8 | Alexandria via LeMat-Bulk | PBE | optimized geometry; DFT total energy = -6.391 eV/atom; raw formation energy = -26.62 eV per formula unit; calculated volume = 372 Å³/cell
1.0
3.9978 2.3082 6.7186
-3.9978 2.3082 6.7186
0.0000 -4.6163 6.7186
Ce Ho Sc Se
3 1 3 8
direct
0.0000 0.5000 0.5000 Ce
0.5000 0.0000 0.5000 Ce
0.5000 0.5000 0.0000 Ce
0.5000 0.5000 0.5000 Ho
0.0000 0.0000 0.5000 Sc
0.0000 0.5000 0.0000 Sc
0.5000 0.0000 0.0000 Sc
0.2300 0.7520 0.7520 Se
0.2413 0.2413 0.2413 Se
0.2480 0.2480 0.7700 Se
0.2480 0.7700 0.2480 Se
0.7520 0.2300 0.7520 Se
0.7520 0.7520 0.2300 Se
0.7587 0.7587 0.7587 Se
0.7700 0.2480 0.2480 Se

=====

# 8
Pr4PRh4 | Alexandria via LeMat-Bulk | PBE | optimized geometry; DFT total energy = -6.644 eV/atom; formation enthalpy at 0 K = -651 meV per atom; calculated volume = 434 Å³/cell
1.0
8.3877 0.0000 0.0000
0.0000 8.3877 0.0000
0.0000 0.0000 6.1645
Pr P Rh
8 2 8
direct
0.0171 0.7508 0.0716 Pr
0.2492 0.5171 0.5716 Pr
0.2508 0.9829 0.5716 Pr
0.4829 0.7492 0.0716 Pr
0.5171 0.2508 0.9284 Pr
0.7492 0.0171 0.4284 Pr
0.7508 0.4829 0.4284 Pr
0.9829 0.2492 0.9284 Pr
0.2500 0.2500 0.2500 P
0.7500 0.7500 0.7500 P
0.0170 0.2492 0.4437 Rh
0.2492 0.4830 0.0563 Rh
0.2508 0.0170 0.0563 Rh
0.4830 0.2508 0.4437 Rh
0.5170 0.7492 0.5563 Rh
0.7492 0.9830 0.9437 Rh
0.7508 0.5170 0.9437 Rh
0.9830 0.7508 0.5563 Rh

=====

# 9
TlS6I | Alexandria via LeMat-Bulk | PBE | optimized geometry; DFT total energy = -3.619 eV/atom; raw formation energy = -0.27 eV per formula unit; calculated volume = 314 Å³/cell
1.0
6.3550 -3.7112 0.0000
6.3550 3.7112 0.0000
-0.1005 0.0000 6.6505
Tl S I
1 6 1
direct
0.0000 0.0000 0.0000 Tl
0.0082 0.5589 0.1477 S
0.2975 0.2975 0.7679 S
0.4411 0.9918 0.8523 S
0.5589 0.0082 0.1477 S
0.7025 0.7025 0.2321 S
0.9918 0.4411 0.8523 S
0.0000 0.0000 0.5000 I

=====

# 10
AlAg2SnF6 | Alexandria via LeMat-Bulk | PBE | optimized geometry; DFT total energy = -4.630 eV/atom; raw formation energy = -21.62 eV per formula unit; calculated volume = 317 Å³/cell
1.0
5.3628 0.0000 0.0000
0.0000 5.5378 0.0000
-1.2818 0.0000 10.6828
Al Ag Sn F
2 4 2 12
direct
0.0000 0.0000 0.0000 Al
0.0000 0.5000 0.5000 Al
0.3703 0.0927 0.7307 Ag
0.3703 0.4073 0.2307 Ag
0.6297 0.5927 0.7693 Ag
0.6297 0.9073 0.2693 Ag
0.5000 0.0000 0.5000 Sn
0.5000 0.5000 0.0000 Sn
0.1404 0.7166 0.9570 F
0.1404 0.7834 0.4570 F
0.1916 0.0033 0.1498 F
0.1916 0.4967 0.6498 F
0.2509 0.1690 0.9279 F
0.2509 0.3310 0.4279 F
0.7491 0.6690 0.5721 F
0.7491 0.8310 0.0721 F
0.8084 0.5033 0.3502 F
0.8084 0.9967 0.8502 F
0.8596 0.2166 0.5430 F
0.8596 0.2834 0.0430 F

=====

# 11
BaInGe2 | Alexandria via LeMat-Bulk | PBE | optimized geometry; DFT total energy = -3.673 eV/atom; formation enthalpy at 0 K = -199 meV per atom; calculated volume = 127 Å³/cell
1.0
4.4505 0.0000 0.0000
0.0000 3.1600 4.5065
0.0000 -3.1600 4.5065
Ba In Ge
1 1 2
direct
0.0000 0.0000 0.0000 Ba
0.5000 0.5752 0.5752 In
0.5000 0.0966 0.4817 Ge
0.5000 0.4817 0.0966 Ge

=====

# 12
Ti4MnPt5 | Alexandria via LeMat-Bulk | PBE | optimized geometry; DFT total energy = -7.884 eV/atom; formation enthalpy at 0 K = -788 meV per atom; calculated volume = 157 Å³/cell
1.0
3.3619 0.0000 0.0000
0.0000 3.3619 0.0000
0.0000 0.0000 13.8934
Ti Mn Pt
4 1 5
direct
0.0000 0.0000 0.1010 Ti
0.0000 0.0000 0.3069 Ti
0.0000 0.0000 0.6931 Ti
0.0000 0.0000 0.8990 Ti
0.0000 0.0000 0.5000 Mn
0.5000 0.5000 0.0000 Pt
0.5000 0.5000 0.1999 Pt
0.5000 0.5000 0.3999 Pt
0.5000 0.5000 0.6001 Pt
0.5000 0.5000 0.8001 Pt